# 1
Material: GdThNi
Method: DFT, PBE-GGA
State: optimized geometry

Summary:
- electronic total energy (eV per atom) = -9.271
- energy of formation from the pure elements (eV per atom) = -0.1774
- total magnetization (μB per cell) = 7.7

Unit cell a=6.402 b=6.402 c=6.402 alpha=147.85 beta=147.85 gamma=46.11
Element x y z (fractional)
Gd  0.000  0.000  0.000
Th  0.282  0.282  0.000
Ni  0.661  0.661  0.000

=====

# 2
Material: HgPPt2
Method: DFT, PBE-GGA
State: optimized geometry

Summary:
- electronic total energy (eV per atom) = -4.573
- energy of formation from the pure elements (eV per atom) = -0.1249
- total magnetization (μB per cell) = 0.0

Unit cell a=7.022 b=7.022 c=7.022 alpha=28.95 beta=28.95 gamma=28.95
Element x y z (fractional)
Hg  0.000  0.000  0.000
P  0.500  0.500  0.500
Pt  0.232  0.232  0.232
Pt  0.768  0.768  0.768

=====

# 3
Material: Li4MgGa
Method: DFT, PBE-GGA
State: optimized geometry

Summary:
- electronic total energy (eV per atom) = -2.087
- energy of formation from the pure elements (eV per atom) = -0.0409
- total magnetization (μB per cell) = 0.6

Unit cell a=5.246 b=5.246 c=5.246 alpha=60.00 beta=60.00 gamma=60.00
Element x y z (fractional)
Li  0.376  0.376  0.376
Li  0.376  0.376  0.871
Li  0.376  0.871  0.376
Li  0.871  0.376  0.376
Mg  0.000  0.000  0.000
Ga  0.750  0.750  0.750

=====

# 4
Material: YGa4Au
Method: DFT, PBE-GGA
State: optimized geometry

Summary:
- electronic total energy (eV per atom) = -3.884
- energy of formation from the pure elements (eV per atom) = -0.2427
- total magnetization (μB per cell) = 0.0

Unit cell a=5.491 b=5.491 c=5.491 alpha=60.00 beta=60.00 gamma=60.00
Element x y z (fractional)
Y  0.000  0.000  0.000
Ga  0.375  0.375  0.375
Ga  0.375  0.375  0.876
Ga  0.375  0.876  0.375
Ga  0.876  0.375  0.375
Au  0.750  0.750  0.750

=====

# 5
Material: Cs2AcAgF6
Method: DFT, PBE-GGA
State: optimized geometry

Summary:
- electronic total energy (eV per atom) = -4.905
- uncorrected formation energy (eV per atom) = -2.916
- total magnetization (μB per cell) = 0.0

Unit cell a=6.914 b=6.914 c=6.914 alpha=60.00 beta=60.00 gamma=60.00
Element x y z (fractional)
Cs  0.250  0.250  0.250
Cs  0.750  0.750  0.750
Ac  0.000  0.000  0.000
Ag  0.500  0.500  0.500
F  0.245  0.245  0.755
F  0.245  0.755  0.245
F  0.245  0.755  0.755
F  0.755  0.245  0.245
F  0.755  0.245  0.755
F  0.755  0.755  0.245

=====

# 6
Material: Th2AlZn
Method: DFT, PBE-GGA
State: optimized geometry

Summary:
- electronic total energy (eV per atom) = -5.151
- energy of formation from the pure elements (eV per atom) = -0.1869
- total magnetization (μB per cell) = 0.0

Unit cell a=4.869 b=4.869 c=4.234 alpha=90.00 beta=90.00 gamma=90.00
Element x y z (fractional)
Th  0.000  0.500  0.000
Th  0.500  0.000  0.000
Al  0.000  0.000  0.500
Zn  0.500  0.500  0.500

=====

# 7
Material: La6Er3Tl
Method: DFT, PBE-GGA
State: optimized geometry

Summary:
- electronic total energy (eV per atom) = -4.481
- energy of formation from the pure elements (eV per atom) = 0.0814
- total magnetization (μB per cell) = 0.0

Unit cell a=8.900 b=8.900 c=8.900 alpha=88.14 beta=88.14 gamma=88.14
Element x y z (fractional)
La  0.004  0.898  0.353
La  0.102  0.647  0.996
La  0.113  0.444  0.351
La  0.351  0.113  0.444
La  0.353  0.004  0.898
La  0.444  0.351  0.113
La  0.556  0.649  0.887
La  0.647  0.996  0.102
La  0.649  0.887  0.556
La  0.887  0.556  0.649
La  0.898  0.353  0.004
La  0.996  0.102  0.647
Er  0.249  0.380  0.741
Er  0.259  0.751  0.620
Er  0.380  0.741  0.249
Er  0.620  0.259  0.751
Er  0.741  0.249  0.380
Er  0.751  0.620  0.259
Tl  0.000  0.000  0.000
Tl  0.500  0.500  0.500

=====

# 8
Material: Co2SnOs
Method: DFT, PBE-GGA
State: optimized geometry

Summary:
- electronic total energy (eV per atom) = -6.634
- energy of formation from the pure elements (eV per atom) = 0.7270
- total magnetization (μB per cell) = 5.2

Unit cell a=8.948 b=8.948 c=8.948 alpha=154.94 beta=154.94 gamma=35.73
Element x y z (fractional)
Co  0.070  0.625  0.945
Co  0.375  0.320  0.445
Co  0.680  0.125  0.055
Co  0.875  0.930  0.555
Sn  0.250  0.750  0.500
Sn  0.500  0.500  0.000
Os  0.000  0.000  0.000
Os  0.750  0.250  0.500

=====

# 9
Material: Y2Sn6Rh
Method: DFT, PBE-GGA
State: optimized geometry

Summary:
- electronic total energy (eV per atom) = -5.314
- energy of formation from the pure elements (eV per atom) = -0.3918
- total magnetization (μB per cell) = 0.0

Unit cell a=7.048 b=4.059 c=8.992 alpha=90.00 beta=112.55 gamma=90.00
Element x y z (fractional)
Y  0.214  0.000  0.429
Y  0.786  0.000  0.571
Sn  0.152  0.500  0.715
Sn  0.233  0.000  0.004
Sn  0.444  0.500  0.290
Sn  0.556  0.500  0.710
Sn  0.767  0.000  0.996
Sn  0.848  0.500  0.285
Rh  0.500  0.500  0.000

=====

# 10
Material: CaSc2Ir
Method: DFT, PBE-GGA
State: optimized geometry

Summary:
- electronic total energy (eV per atom) = -6.307
- energy of formation from the pure elements (eV per atom) = -0.4253
- total magnetization (μB per cell) = 0.0

Unit cell a=3.267 b=3.328 c=8.967 alpha=90.00 beta=90.15 gamma=90.00
Element x y z (fractional)
Ca  0.000  0.000  0.000
Sc  0.499  0.500  0.329
Sc  0.501  0.500  0.671
Ir  0.000  0.000  0.500

=====

# 11
Material: LiLa2VN
Method: DFT, PBE-GGA
State: optimized geometry

Summary:
- electronic total energy (eV per atom) = -6.311
- uncorrected formation energy (eV per atom) = -0.469
- total magnetization (μB per cell) = 2.0

Unit cell a=5.347 b=5.347 c=3.887 alpha=90.00 beta=90.00 gamma=90.00
Element x y z (fractional)
Li  0.000  0.000  0.000
La  0.000  0.500  0.500
La  0.500  0.000  0.500
V  0.500  0.500  0.000
N  0.500  0.500  0.500

=====

# 12
Material: In4Co3
Method: DFT, PBE-GGA
State: optimized geometry

Summary:
- electronic total energy (eV per atom) = -4.317
- energy of formation from the pure elements (eV per atom) = 0.2929
- total magnetization (μB per cell) = 3.6

Unit cell a=5.195 b=5.195 c=5.213 alpha=90.00 beta=90.00 gamma=120.00
Element x y z (fractional)
In  0.000  0.000  0.246
In  0.000  0.000  0.754
In  0.333  0.667  0.500
In  0.667  0.333  0.500
Co  0.000  0.500  0.000
Co  0.500  0.000  0.000
Co  0.500  0.500  0.000

=====

| no. | calculated density (g/cm3) |
| --- | --- |
| 1 | 10.0 |
| 2 | 14.4 |
| 3 | 2.0 |
| 4 | 8.0 |
| 5 | 5.1 |
| 6 | 9.2 |
| 7 | 7.3 |
| 8 | 11.0 |
| 9 | 6.9 |
| 10 | 5.5 |
| 11 | 5.2 |
| 12 | 8.7 |